(1)
Compound: Be2AlOs
Source: the Alexandria database
Functional: PBE-GGA
Structure: optimized geometry Values from VASP.

Cell and atoms, written as Quantum ESPRESSO input:
```
&SYSTEM
  ibrav = 0, nat = 4, ntyp = 3
/
ATOMIC_SPECIES
Be 9.01 Be.upf
Al 26.98 Al.upf
Os 190.23 Os.upf
CELL_PARAMETERS angstrom
2.5407 -4.0516 0.0000
2.5407 4.0516 0.0000
-1.2471 0.0000 2.3288
ATOMIC_POSITIONS angstrom
Be 1.2704 2.0258 0.0000
Be 1.2704 -2.0258 0.0000
Al -0.6236 0.0000 1.1644
Os 1.9172 0.0000 1.1644
```

The calculation puts the calculated formation energy at 0.28 eV/f.u. The magnetic moment is 0.0 μB/f.u.

(2)
Compound: Be3AlOs
Source: the Alexandria database
Functional: PBE-GGA
Structure: optimized geometry Values from VASP.

Cell and atoms, written as Quantum ESPRESSO input:
```
&SYSTEM
  ibrav = 0, nat = 5, ntyp = 3
/
ATOMIC_SPECIES
Be 9.01 Be.upf
Al 26.98 Al.upf
Os 190.23 Os.upf
CELL_PARAMETERS angstrom
4.2096 0.0000 0.0000
0.0000 4.2096 0.0000
0.0000 0.0000 4.2096
ATOMIC_POSITIONS angstrom
Be 0.0000 0.0000 2.1048
Be 0.0000 2.1048 0.0000
Be 2.1048 0.0000 0.0000
Al 2.1048 2.1048 2.1048
Os 0.0000 0.0000 0.0000
```

The calculation puts the calculated formation energy at 3.37 eV/f.u. As for the energy above the lowest structure with this stoichiometry: 0 meV per atom. The magnetic moment is 0.0 μB/f.u.

(3)
Compound: BeAl2Os2
Source: the Alexandria database
Functional: PBE-GGA
Structure: optimized geometry Values from VASP.

Cell and atoms, written as Quantum ESPRESSO input:
```
&SYSTEM
  ibrav = 0, nat = 10, ntyp = 3
/
ATOMIC_SPECIES
Be 9.01 Be.upf
Al 26.98 Al.upf
Os 190.23 Os.upf
CELL_PARAMETERS angstrom
5.9676 0.0000 0.0000
0.0000 5.9676 0.0000
0.0000 0.0000 3.9409
ATOMIC_POSITIONS angstrom
Be 0.0000 0.0000 0.0000
Be 2.9838 2.9838 0.0000
Al 0.9606 2.0232 1.9705
Al 2.0232 5.0070 1.9705
Al 3.9444 0.9606 1.9705
Al 5.0070 3.9444 1.9705
Os 0.9128 3.8966 0.0000
Os 2.0710 0.9128 0.0000
Os 3.8966 5.0548 0.0000
Os 5.0548 2.0710 0.0000
```

The calculation puts the calculated formation energy at -1.11 eV/f.u. As for the energy above the lowest structure with this stoichiometry: 0 meV per atom. The magnetic moment is 0.0 μB/f.u.

(4)
Compound: BeAlOs
Source: the Alexandria database
Functional: PBE-GGA
Structure: optimized geometry Values from VASP.

Cell and atoms, written as Quantum ESPRESSO input:
```
&SYSTEM
  ibrav = 0, nat = 6, ntyp = 3
/
ATOMIC_SPECIES
Be 9.01 Be.upf
Al 26.98 Al.upf
Os 190.23 Os.upf
CELL_PARAMETERS angstrom
1.5313 -6.0415 0.0000
1.5313 6.0415 0.0000
0.0000 0.0000 3.9942
ATOMIC_POSITIONS angstrom
Be 1.5313 3.0507 2.9956
Be 1.5313 -3.0507 0.9985
Al 1.5313 0.9595 0.9985
Al 1.5313 -0.9595 2.9956
Os 1.5313 4.8040 0.9985
Os 1.5313 -4.8040 2.9956
```

The calculation puts the calculated formation energy at -0.89 eV/f.u. As for the energy above the lowest structure with this stoichiometry: 32 meV per atom. The magnetic moment is 0.0 μB/f.u.

(5)
Compound: BeAlOs
Source: the Alexandria database
Functional: PBE-GGA
Structure: optimized geometry Values from VASP.

Cell and atoms, written as Quantum ESPRESSO input:
```
&SYSTEM
  ibrav = 0, nat = 3, ntyp = 3
/
ATOMIC_SPECIES
Be 9.01 Be.upf
Al 26.98 Al.upf
Os 190.23 Os.upf
CELL_PARAMETERS angstrom
0.0000 2.2687 5.8603
1.4845 0.0000 5.8603
1.4845 2.2687 0.0000
ATOMIC_POSITIONS angstrom
Be 0.0000 0.0000 0.0000
Al 1.4845 2.2687 7.8935
Os 1.4845 2.2687 4.1027
```

The calculation puts the calculated formation energy at 0.44 eV/f.u. As for the energy above the lowest structure with this stoichiometry: 478 meV per atom. The magnetic moment is 0.0 μB/f.u.

(6)
Compound: Be4AlOs
Source: the Alexandria database
Functional: PBE-GGA
Structure: optimized geometry Values from VASP.

Cell and atoms, written as Quantum ESPRESSO input:
```
&SYSTEM
  ibrav = 0, nat = 6, ntyp = 3
/
ATOMIC_SPECIES
Be 9.01 Be.upf
Al 26.98 Al.upf
Os 190.23 Os.upf
CELL_PARAMETERS angstrom
0.0000 3.0688 3.0688
3.0688 0.0000 3.0688
3.0688 3.0688 0.0000
ATOMIC_POSITIONS angstrom
Be 0.7555 0.7555 0.7555
Be 2.3133 2.3133 0.7555
Be 2.3133 0.7555 2.3133
Be 0.7555 2.3133 2.3133
Al 3.0688 3.0688 3.0688
Os 4.6032 4.6032 4.6032
```

The calculation puts the calculated formation energy at -2.24 eV/f.u. The magnetic moment is 0.0 μB/f.u.

(7)
Compound: Be2AlOs
Source: the Alexandria database
Functional: PBE-GGA
Structure: optimized geometry Values from VASP.

Cell and atoms, written as Quantum ESPRESSO input:
```
&SYSTEM
  ibrav = 0, nat = 4, ntyp = 3
/
ATOMIC_SPECIES
Be 9.01 Be.upf
Al 26.98 Al.upf
Os 190.23 Os.upf
CELL_PARAMETERS angstrom
3.1134 0.0000 0.0000
0.0000 3.7337 0.0000
0.0000 0.0000 3.9441
ATOMIC_POSITIONS angstrom
Be 0.0000 0.0000 0.0000
Be 1.5567 0.0000 1.9720
Al 0.0000 1.8668 1.9720
Os 1.5567 1.8668 0.0000
```

The calculation puts the calculated formation energy at -0.46 eV/f.u. The magnetic moment is 0.0 μB/f.u.

(8)
Compound: BeAl2Os2
Source: the Alexandria database
Functional: PBE-GGA
Structure: optimized geometry Values from VASP.

Cell and atoms, written as Quantum ESPRESSO input:
```
&SYSTEM
  ibrav = 0, nat = 5, ntyp = 3
/
ATOMIC_SPECIES
Be 9.01 Be.upf
Al 26.98 Al.upf
Os 190.23 Os.upf
CELL_PARAMETERS angstrom
-1.6986 1.6986 6.3669
1.6986 -1.6986 6.3669
1.6986 1.6986 -6.3669
ATOMIC_POSITIONS angstrom
Be 0.0000 0.0000 0.0000
Al 1.6986 0.0000 3.1835
Al 0.0000 1.6986 3.1835
Os 0.0000 0.0000 5.0798
Os 0.0000 0.0000 7.6541
```

The calculation puts the calculated formation energy at 1.87 eV/f.u. As for the energy above the lowest structure with this stoichiometry: 595 meV per atom. The magnetic moment is 0.0 μB/f.u.

(9)
Compound: Be2AlOs
Source: the Alexandria database
Functional: PBE-GGA
Structure: optimized geometry Values from VASP.

Cell and atoms, written as Quantum ESPRESSO input:
```
&SYSTEM
  ibrav = 0, nat = 4, ntyp = 3
/
ATOMIC_SPECIES
Be 9.01 Be.upf
Al 26.98 Al.upf
Os 190.23 Os.upf
CELL_PARAMETERS angstrom
-1.7608 1.7608 3.6656
1.7608 -1.7608 3.6656
1.7608 1.7608 -3.6656
ATOMIC_POSITIONS angstrom
Be 1.7608 0.0000 1.8328
Be 0.0000 1.7608 1.8328
Al 0.0000 0.0000 0.0000
Os 0.0000 0.0000 3.6656
```

The calculation puts the calculated formation energy at -0.83 eV/f.u. The magnetic moment is 0.0 μB/f.u.

(10)
Compound: BeAlOs
Source: the Alexandria database
Functional: PBE-GGA
Structure: optimized geometry Values from VASP.

Cell and atoms, written as Quantum ESPRESSO input:
```
&SYSTEM
  ibrav = 0, nat = 3, ntyp = 3
/
ATOMIC_SPECIES
Be 9.01 Be.upf
Al 26.98 Al.upf
Os 190.23 Os.upf
CELL_PARAMETERS angstrom
0.0000 2.8277 2.8277
2.8277 0.0000 2.8277
2.8277 2.8277 0.0000
ATOMIC_POSITIONS angstrom
Be 0.0000 0.0000 0.0000
Al 2.8277 2.8277 2.8277
Os 4.2416 4.2416 4.2416
```

The calculation puts the calculated formation energy at 0.85 eV/f.u. As for the energy above the lowest structure with this stoichiometry: 614 meV per atom. The magnetic moment is 0.0 μB/f.u.

(11)
Compound: BeAl2Os2
Source: the Alexandria database
Functional: PBE-GGA
Structure: optimized geometry Values from VASP.

Cell and atoms, written as Quantum ESPRESSO input:
```
&SYSTEM
  ibrav = 0, nat = 10, ntyp = 3
/
ATOMIC_SPECIES
Be 9.01 Be.upf
Al 26.98 Al.upf
Os 190.23 Os.upf
CELL_PARAMETERS angstrom
6.7285 0.0000 0.0000
0.0000 6.7285 0.0000
0.0000 0.0000 3.0733
ATOMIC_POSITIONS angstrom
Be 0.0000 0.0000 0.0000
Be 3.3643 3.3643 0.0000
Al 0.9200 2.4443 0.0000
Al 2.4443 5.8085 0.0000
Al 4.2842 0.9200 0.0000
Al 5.8085 4.2842 0.0000
Os 1.0923 4.4565 1.5367
Os 2.2720 1.0923 1.5367
Os 4.4565 5.6362 1.5367
Os 5.6362 2.2720 1.5367
```

The calculation puts the calculated formation energy at 0.47 eV/f.u. As for the energy above the lowest structure with this stoichiometry: 315 meV per atom. The magnetic moment is 0.0 μB/f.u.

Calculated total energy readings, ordered: -22.14; -22.78; -69.55; -39.18; -18.26; -32.11; -22.89; -31.80; -23.26; -17.85; -66.40 eV per cell